DFT (PBE) results for a geometry-optimized GeSb2OsO structure.

abc: 5.439 5.439 3.661
angles: 90.00 90.00 90.00
Fractional coordinates of all 5 atoms:
Ge: 0.000 0.000 0.000
Sb: 0.000 0.500 0.500
Sb: 0.500 0.000 0.500
Os: 0.500 0.500 0.500
O: 0.500 0.500 0.000

## Properties
As for the symmetry: P4/mmm, No. 123. The value obtained for the volume is 108.3 Å³/cell. For the density of states at the Fermi level, the calculation gives 3.29 states/eV/f.u. The calculation puts the electronic total energy at -5.78 eV/atom. Its uncorrected formation energy is 0.030 eV/atom.

***

DFT (PBE) results for a geometry-optimized SrGeOsO6 structure.

abc: 5.166 5.166 10.829
angles: 90.00 90.00 120.00
Fractional coordinates of all 18 atoms:
Sr: 0.000 0.000 0.000
Sr: 0.000 0.000 0.500
Ge: 0.333 0.667 0.250
Ge: 0.667 0.333 0.750
Os: 0.333 0.667 0.750
Os: 0.667 0.333 0.250
O: 0.002 0.383 0.151
O: 0.002 0.619 0.349
O: 0.381 0.383 0.349
O: 0.381 0.998 0.151
O: 0.383 0.002 0.651
O: 0.383 0.381 0.849
O: 0.617 0.619 0.151
O: 0.617 0.998 0.349
O: 0.619 0.002 0.849
O: 0.619 0.617 0.651
O: 0.998 0.381 0.651
O: 0.998 0.617 0.849

## Properties
As for the symmetry: P-31c, No. 163. The value obtained for the volume is 250.2 Å³/cell. For the density of states at the Fermi level, the calculation gives 4.98 states/eV/f.u. The calculation puts the electronic total energy at -6.95 eV/atom. Its uncorrected formation energy is -1.693 eV/atom.

***

DFT (PBE) results for a geometry-optimized ThGeOsO structure.

abc: 4.180 4.180 7.916
angles: 90.00 90.00 90.00
Fractional coordinates of all 8 atoms:
Th: 0.250 0.250 0.157
Th: 0.750 0.750 0.843
Ge: 0.250 0.250 0.668
Ge: 0.750 0.750 0.332
Os: 0.250 0.750 0.500
Os: 0.750 0.250 0.500
O: 0.250 0.750 0.000
O: 0.750 0.250 0.000

## Properties
As for the symmetry: P4/nmm, No. 129. The value obtained for the volume is 138.3 Å³/cell. For the density of states at the Fermi level, the calculation gives 1.52 states/eV/f.u. The calculation puts the electronic total energy at -8.69 eV/atom. Its uncorrected formation energy is -1.637 eV/atom.

***

DFT (PBE) results for a geometry-optimized TiGeOsO2 structure.

abc: 3.663 3.663 5.831
angles: 90.00 90.00 90.00
Fractional coordinates of all 5 atoms:
Ti: 0.000 0.000 0.000
Ge: 0.500 0.500 0.500
Os: 0.000 0.000 0.500
O: 0.000 0.500 0.000
O: 0.500 0.000 0.000

## Properties
As for the symmetry: P4/mmm, No. 123. The value obtained for the volume is 78.2 Å³/cell. For the density of states at the Fermi level, the calculation gives 3.92 states/eV/f.u. The calculation puts the electronic total energy at -7.47 eV/atom. Its uncorrected formation energy is -0.736 eV/atom.

***

DFT (PBE) results for a geometry-optimized Tl2GeOsO structure.

abc: 5.283 5.283 4.663
angles: 90.00 90.00 90.00
Fractional coordinates of all 5 atoms:
Tl: 0.000 0.500 0.000
Tl: 0.500 0.000 0.000
Ge: 0.000 0.000 0.500
Os: 0.000 0.000 0.000
O: 0.500 0.500 0.500

## Properties
As for the symmetry: P4/mmm, No. 123. The value obtained for the volume is 130.2 Å³/cell. For the density of states at the Fermi level, the calculation gives 7.41 states/eV/f.u. The calculation puts the electronic total energy at -4.55 eV/atom. Its uncorrected formation energy is 0.560 eV/atom.

***

DFT (PBE) results for a geometry-optimized Tl2GeOsO6 structure.

abc: 5.601 5.601 5.601
angles: 120.08 120.08 89.87
Fractional coordinates of all 10 atoms:
Tl: 0.250 0.750 0.500
Tl: 0.750 0.250 0.500
Ge: 0.000 0.000 0.000
Os: 0.500 0.500 0.000
O: 0.249 0.749 0.998
O: 0.251 0.249 0.499
O: 0.251 0.251 0.000
O: 0.749 0.749 0.000
O: 0.749 0.751 0.501
O: 0.751 0.251 0.002

## Properties
As for the symmetry: I4/m, No. 87. The value obtained for the volume is 124.1 Å³/cell. For the density of states at the Fermi level, the calculation gives 4.84 states/eV/f.u. The calculation puts the electronic total energy at -5.84 eV/atom. Its uncorrected formation energy is -0.806 eV/atom.